DFT (PBE-GGA) results for a relaxed SrSc2P crystal.

Calculated values
The calculation puts the volume at 27.6 Å³/atom. For the density of states at the Fermi level, the calculation gives 10.7 states/eV/cell. The total magnetic moment comes out at 0.02 μB/cell. Its uncorrected energy is -5.408 eV/atom. The value obtained for the density is 3.1 Mg/m³.

Lattice parameters (Å, degrees): 11.6120 3.5678 6.2682 90.00 121.84 90.00
Space group Cm (No. 8)
Inequivalent atoms, fractional coordinates:
Sr 0.0000 0.0000 0.0000
Sc 0.1372 0.5000 0.6353
Sc 0.3325 0.5000 0.3285
P 0.2650 0.0000 0.9854